Computed, not measured: crystalline Ho5AlBi2 at its relaxed geometry at the GGA-PBE level of DFT.

Cell: 5.632 6.411 14.519 Å, 90.00 90.00 116.06°
Positions (direct):
Ho: 0.378 0.756 0.448
Bi: 0.208 0.415 0.877
Bi: 0.792 0.585 0.123
Ho: 0.924 0.847 0.599
Ho: 0.622 0.244 0.552
Ho: 0.076 0.153 0.401
Al: 0.725 0.450 0.750
Ho: 0.559 0.118 0.250
Ho: 0.441 0.882 0.750
Ho: 0.378 0.756 0.052
Ho: 0.622 0.244 0.948
Al: 0.275 0.550 0.250
Ho: 0.924 0.847 0.901
Ho: 0.076 0.153 0.099
Bi: 0.792 0.585 0.377
Bi: 0.208 0.415 0.623

Output
DOS at the Fermi energy: 16.00 states/eV/cell
Total moment: 0.000 μB per atom
DFT total energy: -36.2 eV/f.u.